First-principles (PBE) data for CoB3S after structural relaxation, as listed in Alexandria via LeMat-Bulk.

**Space-group type**: No. 221
**Raw formation energy**: 1824 meV/atom
**Total moment**: 1.6 μB per formula unit
**E**: -22.15 eV for the cell shown
**Energy above the lowest structure with this stoichiometry**: 0.5907 eV per atom

a = 3.757 Å, b = 3.757 Å, c = 3.757 Å
α = 90.00°, β = 90.00°, γ = 90.00°
Fractional positions:
Co1 0.000 0.000 0.000
B1 0.000 0.500 0.500
B2 0.500 0.000 0.500
B3 0.500 0.500 0.000
S1 0.500 0.500 0.500


First-principles (PBE) data for TbSbTe3 after structural relaxation, as listed in Alexandria via LeMat-Bulk.

**Space-group type**: No. 148
**Raw formation energy**: -674 meV/atom
**Total moment**: 0.0 μB per formula unit
**E**: -43.09 eV for the cell shown

a = 8.299 Å, b = 8.299 Å, c = 8.299 Å
α = 55.90°, β = 55.90°, γ = 55.90°
Fractional positions:
Tb1 0.152 0.152 0.152
Tb2 0.848 0.848 0.848
Sb1 0.338 0.338 0.338
Sb2 0.662 0.662 0.662
Te1 0.062 0.745 0.449
Te2 0.255 0.551 0.938
Te3 0.449 0.062 0.745
Te4 0.551 0.938 0.255
Te5 0.745 0.449 0.062
Te6 0.938 0.255 0.551


First-principles (PBE) data for Zr2CI after structural relaxation, as listed in Alexandria via LeMat-Bulk.

**Space-group type**: No. 225
**Raw formation energy**: 576 meV/atom
**Total moment**: 0.0 μB per formula unit
**E**: -25.57 eV for the cell shown

a = 4.677 Å, b = 4.677 Å, c = 4.677 Å
α = 60.00°, β = 60.00°, γ = 60.00°
Fractional positions:
Zr1 0.250 0.250 0.250
Zr2 0.750 0.750 0.750
C1 0.000 0.000 0.000
I1 0.500 0.500 0.500


First-principles (PBE) data for Al2In3F9 after structural relaxation, as listed in Alexandria via LeMat-Bulk.

**Space-group type**: No. 167
**Raw formation energy**: -2715 meV/atom
**Total moment**: 0.0 μB per formula unit
**E**: -141.11 eV for the cell shown

a = 7.786 Å, b = 7.786 Å, c = 7.786 Å
α = 84.26°, β = 84.26°, γ = 84.26°
Fractional positions:
Al1 0.158 0.158 0.158
Al2 0.342 0.342 0.342
Al3 0.658 0.658 0.658
Al4 0.842 0.842 0.842
In1 0.113 0.750 0.387
In2 0.250 0.613 0.887
In3 0.387 0.113 0.750
In4 0.613 0.887 0.250
In5 0.750 0.387 0.113
In6 0.887 0.250 0.613
F1 0.050 0.896 0.753
F2 0.104 0.247 0.950
F3 0.118 0.382 0.250
F4 0.247 0.950 0.104
F5 0.250 0.118 0.382
F6 0.253 0.396 0.550
F7 0.382 0.250 0.118
F8 0.396 0.550 0.253
F9 0.450 0.747 0.604
F10 0.550 0.253 0.396
F11 0.604 0.450 0.747
F12 0.618 0.750 0.882
F13 0.747 0.604 0.450
F14 0.750 0.882 0.618
F15 0.753 0.050 0.896
F16 0.882 0.618 0.750
F17 0.896 0.753 0.050
F18 0.950 0.104 0.247